1.
Here is crystalline PuCr2GeC at its relaxed geometry from Alexandria. Energies are from PBE.

Calculated values
electronic total energy: -94.44 eV per cell
crystal system: orthorhombic

Unit cell a=5.627 b=5.627 c=5.401 alpha=90.00 beta=90.00 gamma=123.45
Atoms (fractional coordinates):
Pu 0.238 0.762 0.750
Pu 0.762 0.238 0.250
Cr 0.302 0.302 0.000
Cr 0.302 0.302 0.500
Cr 0.698 0.698 0.000
Cr 0.698 0.698 0.500
Ge 0.131 0.869 0.250
Ge 0.869 0.131 0.750
C 0.376 0.624 0.250
C 0.624 0.376 0.750

=====

2.
Here is crystalline RbCr2GeC at its relaxed geometry from Alexandria. Energies are from PBE.

Calculated values
polymorph energy (0 for the lowest one): 1.535 eV per atom
crystal system: tetragonal

Unit cell a=4.650 b=4.650 c=4.182 alpha=90.00 beta=90.00 gamma=90.00
Atoms (fractional coordinates):
Rb 0.000 0.000 0.000
Cr 0.000 0.500 0.000
Cr 0.500 0.000 0.000
Ge 0.500 0.500 0.500
C 0.000 0.000 0.500

=====

3.
Here is crystalline RbCr2GeC at its relaxed geometry from Alexandria. Energies are from PBE.

Calculated values
polymorph energy (0 for the lowest one): 0.000 eV per atom
crystal system: tetragonal

Unit cell a=4.791 b=4.791 c=6.674 alpha=90.00 beta=90.00 gamma=90.00
Atoms (fractional coordinates):
Rb 0.000 0.000 0.000
Cr 0.000 0.500 0.500
Cr 0.500 0.000 0.500
Ge 0.000 0.000 0.500
C 0.500 0.500 0.000

=====

4.
Here is crystalline ScCrGe2C at its relaxed geometry from Alexandria. Energies are from PBE.

Calculated values
electronic total energy: -32.10 eV per cell
crystal system: tetragonal

Unit cell a=4.698 b=4.698 c=3.739 alpha=90.00 beta=90.00 gamma=90.00
Atoms (fractional coordinates):
Sc 0.000 0.000 0.000
Cr 0.500 0.500 0.500
Ge 0.000 0.500 0.500
Ge 0.500 0.000 0.500
C 0.500 0.500 0.000

=====

5.
Here is crystalline Sc2CrGeC at its relaxed geometry from Alexandria. Energies are from PBE.

Calculated values
electronic total energy: -38.49 eV per cell
crystal system: tetragonal

Unit cell a=4.486 b=4.486 c=3.818 alpha=90.00 beta=90.00 gamma=90.00
Atoms (fractional coordinates):
Sc 0.000 0.500 0.000
Sc 0.500 0.000 0.000
Cr 0.000 0.000 0.500
Ge 0.500 0.500 0.500
C 0.000 0.000 0.000

=====

6.
Here is crystalline TbCr2GeC at its relaxed geometry from Alexandria. Energies are from PBE.

Calculated values
electronic total energy: -76.90 eV per cell
crystal system: orthorhombic

Unit cell a=6.130 b=6.130 c=5.370 alpha=90.00 beta=90.00 gamma=129.33
Atoms (fractional coordinates):
Tb 0.248 0.752 0.750
Tb 0.752 0.248 0.250
Cr 0.264 0.264 0.000
Cr 0.264 0.264 0.500
Cr 0.736 0.736 0.000
Cr 0.736 0.736 0.500
Ge 0.140 0.860 0.250
Ge 0.860 0.140 0.750
C 0.442 0.558 0.250
C 0.558 0.442 0.750

=====

7.
Here is crystalline CrTcGeC2 at its relaxed geometry from Alexandria. Energies are from PBE.

Calculated values
electronic total energy: -35.04 eV per cell
crystal system: tetragonal

Unit cell a=3.751 b=3.751 c=4.949 alpha=90.00 beta=90.00 gamma=90.00
Atoms (fractional coordinates):
Cr 0.000 0.000 0.000
Tc 0.500 0.500 0.500
Ge 0.000 0.000 0.500
C 0.000 0.500 0.000
C 0.500 0.000 0.000

=====

8.
Here is crystalline Ti2Cr2Ge2C at its relaxed geometry from Alexandria. Energies are from PBE.

Calculated values
electronic total energy: -56.27 eV per cell
crystal system: tetragonal

Unit cell a=7.111 b=7.111 c=7.111 alpha=148.83 beta=148.83 gamma=44.65
Atoms (fractional coordinates):
Ti 0.164 0.164 0.000
Ti 0.836 0.836 0.000
Cr 0.000 0.500 0.500
Cr 0.500 0.000 0.500
Ge 0.364 0.364 0.000
Ge 0.636 0.636 0.000
C 0.000 0.000 0.000

=====

9.
Here is crystalline TlCrGeC2 at its relaxed geometry from Alexandria. Energies are from PBE.

Calculated values
electronic total energy: -19.52 eV per cell
crystal system: tetragonal

Unit cell a=4.197 b=4.197 c=5.337 alpha=90.00 beta=90.00 gamma=90.00
Atoms (fractional coordinates):
Tl 0.000 0.000 0.000
Cr 0.000 0.000 0.500
Ge 0.500 0.500 0.500
C 0.000 0.500 0.000
C 0.500 0.000 0.000

=====

10.
Here is crystalline TlCrGe2C at its relaxed geometry from Alexandria. Energies are from PBE.

Calculated values
electronic total energy: -16.07 eV per cell
crystal system: tetragonal

Unit cell a=5.275 b=5.275 c=5.098 alpha=90.00 beta=90.00 gamma=90.00
Atoms (fractional coordinates):
Tl 0.000 0.000 0.000
Cr 0.000 0.000 0.500
Ge 0.000 0.500 0.000
Ge 0.500 0.000 0.000
C 0.500 0.500 0.500

=====

11.
Here is crystalline UCr2GeC at its relaxed geometry from Alexandria. Energies are from PBE.

Calculated values
electronic total energy: -43.97 eV per cell
crystal system: tetragonal

Unit cell a=3.941 b=3.941 c=4.924 alpha=90.00 beta=90.00 gamma=90.00
Atoms (fractional coordinates):
U 0.000 0.000 0.000
Cr 0.000 0.500 0.491
Cr 0.500 0.000 0.491
Ge 0.500 0.500 0.174
C 0.000 0.000 0.518